Record 1
The following is a GGA-PBE calculation of a relaxed BeCd2 crystal, from Alexandria via LeMat-Bulk.

Cell lengths 13.371, 2.824, 6.400 Å; angles 90.00, 116.77, 90.00 degrees
Space group C2/m (No. 12)
One atom of each set of equivalent atoms:
Be1 0.003 0.000 0.201 x4
Cd1 0.122 0.500 0.604 x4
Cd2 0.157 0.500 0.136 x4

total magnetic moment: 0.000 μB/f.u.
relative energy among the computed polymorphs: 35.0 meV per atom
E: -18.83 eV/cell

Record 2
The following is a GGA-PBE calculation of a relaxed CaRu2Pb crystal, from Alexandria via LeMat-Bulk.

Cell lengths 9.423, 3.302, 5.465 Å; angles 90.00, 104.99, 90.00 degrees
Space group C2/m (No. 12)
One atom of each set of equivalent atoms:
Ca1 0.000 0.000 0.000 x2
Ru1 0.239 0.000 0.685 x4
Pb1 0.000 0.500 0.500 x2

total magnetic moment: 0.000 μB/f.u.
E: -45.11 eV/cell